1.
Crystalline Mg2TaRe at its relaxed geometry. Source: the Alexandria database, functional GGA-PBEsol.

The space group is C2/m (No. 12) and the conventional cell measures 5.421, 9.454 and 2.707 Å, with angles of 90.00, 103.35 and 90.00 degrees. Symmetry generates all atoms from Mg at (0.250, 0.250, 0.000), Ta at (0.000, 0.000, 0.500) and Re at (0.000, 0.500, 0.500).

As for the density of states at the Fermi level: 4.07 states/eV per cell.

---

2.
Crystalline MgTaRe2 at its relaxed geometry. Source: the Alexandria database, functional GGA-PBEsol.

The space group is I-4m2 (No. 119) and the conventional cell measures 3.896, 3.896 and 8.294 Å, with angles of 90.00, 90.00 and 90.00 degrees. Symmetry generates all atoms from Mg at (0.000, 0.000, 0.000), Ta at (0.000, 0.500, 0.750), Re at (0.000, 0.000, 0.500) and Re at (0.000, 0.500, 0.250).

As for the density of states at the Fermi level: 7.54 states/eV per cell.

---

3.
Crystalline MgTa2Re at its relaxed geometry. Source: the Alexandria database, functional GGA-PBEsol.

The space group is C2/m (No. 12) and the conventional cell measures 9.475, 2.671 and 5.366 Å, with angles of 90.00, 91.93 and 90.00 degrees. Symmetry generates all atoms from Mg at (0.000, 0.000, 0.000), Ta at (0.247, 0.500, 0.255) and Re at (0.000, 0.500, 0.500).

As for the density of states at the Fermi level: 5.45 states/eV per cell.

---

4.
Crystalline Mg2TaRe at its relaxed geometry. Source: the Alexandria database, functional GGA-PBEsol.

The space group is Pmm2 (No. 25) and the conventional cell measures 2.730, 4.282 and 5.955 Å, with angles of 90.00, 90.00 and 90.00 degrees. Symmetry generates all atoms from Mg at (0.000, 0.000, 0.000), Mg at (0.500, 0.500, 0.248), Ta at (0.500, 0.500, 0.719) and Re at (0.000, 0.000, 0.512).

As for the density of states at the Fermi level: 2.65 states/eV per cell.

---

5.
Crystalline Mg2TaRe at its relaxed geometry. Source: the Alexandria database, functional GGA-PBEsol.

The space group is Fm-3m (No. 225) and the conventional cell measures 6.428, 6.428 and 6.428 Å, with angles of 90.00, 90.00 and 90.00 degrees. Symmetry generates all atoms from Mg at (0.250, 0.250, 0.250), Ta at (0.000, 0.000, 0.000) and Re at (0.000, 0.000, 0.500).

As for the density of states at the Fermi level: 17.55 states/eV per cell.

---

6.
Crystalline MgTa2Re at its relaxed geometry. Source: the Alexandria database, functional GGA-PBEsol.

The space group is Cmmm (No. 65) and the conventional cell measures 3.213, 4.611 and 9.335 Å, with angles of 90.00, 90.00 and 90.00 degrees. Symmetry generates all atoms from Mg at (0.000, 0.000, 0.000), Ta at (0.000, 0.500, 0.270) and Re at (0.000, 0.000, 0.500).

As for the density of states at the Fermi level: 6.39 states/eV per cell.

---

Respective energy relative to the elements values: 308; 344; 294; 322; 813; 93 meV per atom.